[1]
# TlCdNO2 | Alexandria via LeMat-Bulk | GGA-PBE | relaxed
# Energy relative to the elements, uncorrected   0.67 eV per atom
# Volume   16.8 Å³ per atom
data_TlCdNO2
_chemical_formula_sum 'Tl1 Cd1 N1 O2'
_symmetry_space_group_name_H-M 'P 4/m m m'
_symmetry_Int_Tables_number 123
_symmetry_space_group_name_Hall '-P 4 2'
_cell_length_a 4.407
_cell_length_b 4.407
_cell_length_c 4.319
_cell_angle_alpha 90.00
_cell_angle_beta 90.00
_cell_angle_gamma 90.00
loop_
_atom_site_label
_atom_site_fract_x
_atom_site_fract_y
_atom_site_fract_z
Tl1 0.000 0.000 0.000
Cd1 0.500 0.500 0.500
N1 0.500 0.500 0.000
O1 0.000 0.500 0.500

=====

[2]
# TlCdN2O | Alexandria via LeMat-Bulk | GGA-PBE | relaxed
# Energy relative to the elements, uncorrected   1.37 eV per atom
# Volume   17.2 Å³ per atom
data_TlCdN2O
_chemical_formula_sum 'Tl1 Cd1 N2 O1'
_symmetry_space_group_name_H-M 'P 4/m m m'
_symmetry_Int_Tables_number 123
_symmetry_space_group_name_Hall '-P 4 2'
_cell_length_a 4.414
_cell_length_b 4.414
_cell_length_c 4.419
_cell_angle_alpha 90.00
_cell_angle_beta 90.00
_cell_angle_gamma 90.00
loop_
_atom_site_label
_atom_site_fract_x
_atom_site_fract_y
_atom_site_fract_z
Tl1 0.000 0.000 0.000
Cd1 0.500 0.500 0.500
N1 0.000 0.500 0.500
O1 0.500 0.500 0.000

=====

[3]
# TlCdN2O | Alexandria via LeMat-Bulk | GGA-PBE | relaxed
# Energy relative to the elements, uncorrected   1.53 eV per atom
# Volume   16.7 Å³ per atom
data_TlCdN2O
_chemical_formula_sum 'Tl1 Cd1 N2 O1'
_symmetry_space_group_name_H-M 'P 4/m m m'
_symmetry_Int_Tables_number 123
_symmetry_space_group_name_Hall '-P 4 2'
_cell_length_a 4.373
_cell_length_b 4.373
_cell_length_c 4.370
_cell_angle_alpha 90.00
_cell_angle_beta 90.00
_cell_angle_gamma 90.00
loop_
_atom_site_label
_atom_site_fract_x
_atom_site_fract_y
_atom_site_fract_z
Tl1 0.000 0.000 0.000
Cd1 0.500 0.500 0.500
N1 0.000 0.500 0.000
O1 0.000 0.000 0.500

=====

[4]
# TlCdNO2 | Alexandria via LeMat-Bulk | GGA-PBE | relaxed
# Energy relative to the elements, uncorrected   0.76 eV per atom
# Volume   15.9 Å³ per atom
data_TlCdNO2
_chemical_formula_sum 'Tl1 Cd1 N1 O2'
_symmetry_space_group_name_H-M 'P 4/m m m'
_symmetry_Int_Tables_number 123
_symmetry_space_group_name_Hall '-P 4 2'
_cell_length_a 4.321
_cell_length_b 4.321
_cell_length_c 4.265
_cell_angle_alpha 90.00
_cell_angle_beta 90.00
_cell_angle_gamma 90.00
loop_
_atom_site_label
_atom_site_fract_x
_atom_site_fract_y
_atom_site_fract_z
Tl1 0.000 0.000 0.000
Cd1 0.500 0.500 0.500
N1 0.000 0.000 0.500
O1 0.000 0.500 0.000

=====

Please write out number 1 again, unchanged.
# TlCdNO2 | Alexandria via LeMat-Bulk | GGA-PBE | relaxed
# Energy relative to the elements, uncorrected   0.67 eV per atom
# Volume   16.8 Å³ per atom
data_TlCdNO2
_chemical_formula_sum 'Tl1 Cd1 N1 O2'
_symmetry_space_group_name_H-M 'P 4/m m m'
_symmetry_Int_Tables_number 123
_symmetry_space_group_name_Hall '-P 4 2'
_cell_length_a 4.407
_cell_length_b 4.407
_cell_length_c 4.319
_cell_angle_alpha 90.00
_cell_angle_beta 90.00
_cell_angle_gamma 90.00
loop_
_atom_site_label
_atom_site_fract_x
_atom_site_fract_y
_atom_site_fract_z
Tl1 0.000 0.000 0.000
Cd1 0.500 0.500 0.500
N1 0.500 0.500 0.000
O1 0.000 0.500 0.500